Entry 1:
A relaxed NbCrS3 crystal. Source: the Alexandria database, functional PBE-GGA.

Unit cell a=5.9313 b=10.5469 c=6.8994 alpha=90.00 beta=102.04 gamma=90.00
Space group C2/m (No. 12)
Unique sites:
1 Nb 0.0000 0.1345 0.0000
2 Cr 0.0627 0.5000 0.1431
3 S 0.2329 0.3155 0.2205
4 S 0.2429 0.0000 0.2629

Output
E_form (uncorrected)	-0.656	eV per atom
E above lowest polymorph	0	meV/atom
size of the total moment	0.00	μB/f.u.

=====

Entry 2:
A relaxed Nb2CrS crystal. Source: the Alexandria database, functional PBE-GGA.

Unit cell a=3.8051 b=3.8051 c=18.9278 alpha=90.00 beta=90.00 gamma=90.00
Space group I-42d (No. 122)
Unique sites:
1 Nb 0.2440 0.2500 0.1250
2 Cr 0.0000 0.0000 0.5000
3 S 0.0000 0.0000 0.0000

Output
E_form (uncorrected)	0.339	eV per atom
size of the total moment	2.86	μB/f.u.

=====

Entry 3:
A relaxed NbCrS2 crystal. Source: the Alexandria database, functional PBE-GGA.

Unit cell a=3.2798 b=3.2798 c=23.7957 alpha=90.00 beta=90.00 gamma=120.00
Space group R-3m (No. 166, hexagonal axes)
Unique sites:
1 Nb 0.0000 0.0000 0.0000
2 Cr 0.0000 0.0000 0.5000
3 S 0.0000 0.0000 0.4018

Output
E_form (uncorrected)	-0.452	eV per atom
E above lowest polymorph	0	meV/atom
size of the total moment	4.20	μB/f.u.

=====

Entry 4:
A relaxed Nb2CrS5 crystal. Source: the Alexandria database, functional PBE-GGA.

Unit cell a=4.4498 b=12.9116 c=12.9941 alpha=90.00 beta=90.00 gamma=90.00
Space group Fmmm (No. 69)
Unique sites:
1 Nb 0.0000 0.0000 0.1857
2 Cr 0.0000 0.0000 0.5000
3 S 0.0000 0.0000 0.0000
4 S 0.0000 0.1160 0.3410

Output
E_form (uncorrected)	-0.691	eV per atom
E above lowest polymorph	69	meV/atom
size of the total moment	2.98	μB/f.u.

=====

> Among the records above, which one has the lowest E_form (uncorrected)?

Nb2CrS5

=====

> Which value of size of the total moment does entry 4 give?

2.98 μB/f.u.

=====

> Which value of E_form (uncorrected) does entry 2 give?

0.339 eV per atom